[1]
{"formula": "KZrReN4", "functional": "PBE-GGA", "state": "optimized geometry", "lattice_angstrom": [[5.8268, 0.0000, 0.0000], [0.0000, 6.0810, 0.0000], [-2.0121, 0.0000, 7.2754]], "species": ["K", "K", "Zr", "Zr", "Re", "Re", "N", "N", "N", "N", "N", "N", "N", "N"], "fractional_positions": [[0.2273, 0.2500, 0.4344], [0.7727, 0.7500, 0.5656], [0.3240, 0.2500, 0.9536], [0.6760, 0.7500, 0.0464], [0.2036, 0.7500, 0.1385], [0.7964, 0.2500, 0.8615], [0.0024, 0.2500, 0.0797], [0.0043, 0.2500, 0.7169], [0.4224, 0.5203, 0.1532], [0.4224, 0.9797, 0.1532], [0.5776, 0.0203, 0.8468], [0.5776, 0.4797, 0.8468], [0.9957, 0.7500, 0.2831], [0.9976, 0.7500, 0.9203]], "raw_formation_energy_ev_per_atom": -0.55}

---

[2]
{"formula": "NdAl3NiRh", "functional": "PBE-GGA", "state": "optimized geometry", "lattice_angstrom": [[3.1523, -5.9502, 0.0000], [3.1523, 5.9502, 0.0000], [0.0000, 0.0000, 5.8196]], "species": ["Nd", "Nd", "Al", "Al", "Al", "Al", "Al", "Al", "Ni", "Ni", "Rh", "Rh"], "fractional_positions": [[0.2272, 0.7728, 0.7500], [0.7728, 0.2272, 0.2500], [0.2129, 0.2129, 0.0000], [0.2129, 0.2129, 0.5000], [0.3490, 0.6510, 0.2500], [0.6510, 0.3490, 0.7500], [0.7871, 0.7871, 0.0000], [0.7871, 0.7871, 0.5000], [0.4504, 0.5496, 0.7500], [0.5496, 0.4504, 0.2500], [0.1367, 0.8633, 0.2500], [0.8633, 0.1367, 0.7500]], "e_form_ev_per_atom": -0.52}

---

[3]
{"formula": "Ho2InGe3Rh4", "functional": "PBE-GGA", "state": "optimized geometry", "lattice_angstrom": [[4.1284, 0.0000, 0.0000], [0.0000, 4.1284, 0.0000], [0.0000, 0.0000, 10.8713]], "species": ["Ho", "Ho", "In", "Ge", "Ge", "Ge", "Rh", "Rh", "Rh", "Rh"], "fractional_positions": [[0.0000, 0.5000, 0.2382], [0.5000, 0.0000, 0.7618], [0.0000, 0.0000, 0.5000], [0.0000, 0.5000, 0.8742], [0.5000, 0.0000, 0.1258], [0.5000, 0.5000, 0.5000], [0.0000, 0.0000, 0.0000], [0.0000, 0.5000, 0.6526], [0.5000, 0.0000, 0.3474], [0.5000, 0.5000, 0.0000]], "e_form_ev_per_atom": -0.76}

---

[4]
{"formula": "KIr3", "functional": "PBE-GGA", "state": "optimized geometry", "lattice_angstrom": [[2.6960, 0.0000, 0.0000], [0.0000, 4.2852, 0.0000], [0.0000, 0.0000, 7.2275]], "species": ["K", "Ir", "Ir", "Ir"], "fractional_positions": [[0.0000, 0.0000, 0.0000], [0.0000, 0.5000, 0.6428], [0.5000, 0.0000, 0.5334], [0.5000, 0.5000, 0.3262]], "relative_energy_ev_per_atom": 0.117, "e_form_ev_per_atom": 0.61}

---

[5]
{"formula": "Cr2CoRu", "functional": "PBE-GGA", "state": "optimized geometry", "lattice_angstrom": [[2.5728, -3.5897, 0.0000], [2.5728, 3.5897, 0.0000], [0.0000, 0.0000, 2.6054]], "species": ["Cr", "Cr", "Co", "Ru"], "fractional_positions": [[0.0000, 0.5000, 0.0000], [0.5000, 0.0000, 0.0000], [0.0000, 0.0000, 0.5000], [0.5000, 0.5000, 0.5000]], "e_form_ev_per_atom": 0.12}

---

[6]
{"formula": "MnNbVSb", "functional": "PBE-GGA", "state": "optimized geometry", "lattice_angstrom": [[0.0000, 3.1486, 3.1486], [3.1486, 0.0000, 3.1486], [3.1486, 3.1486, 0.0000]], "species": ["Mn", "Nb", "V", "Sb"], "fractional_positions": [[0.0000, 0.0000, 0.0000], [0.2500, 0.2500, 0.2500], [0.5000, 0.5000, 0.5000], [0.7500, 0.7500, 0.7500]], "raw_formation_energy_ev_per_atom": 0.02}

---

[7]
{"formula": "InGa3Ir", "functional": "PBE-GGA", "state": "optimized geometry", "lattice_angstrom": [[4.8632, 0.0000, 0.0000], [0.0000, 4.8632, 0.0000], [0.0000, 0.0000, 4.8632]], "species": ["In", "Ga", "Ga", "Ga", "Ir"], "fractional_positions": [[0.0000, 0.0000, 0.0000], [0.0000, 0.5000, 0.5000], [0.5000, 0.0000, 0.5000], [0.5000, 0.5000, 0.0000], [0.5000, 0.5000, 0.5000]], "relative_energy_ev_per_atom": 0.041, "e_form_ev_per_atom": -0.14}

---

[8]
{"formula": "Ba3Hf2BiO9", "functional": "PBE-GGA", "state": "optimized geometry", "lattice_angstrom": [[6.0529, 0.0000, 0.0000], [-3.0265, 5.2420, 0.0000], [0.0000, 0.0000, 7.4287]], "species": ["Ba", "Ba", "Ba", "Hf", "Hf", "Bi", "O", "O", "O", "O", "O", "O", "O", "O", "O"], "fractional_positions": [[0.0000, 0.0000, 0.0000], [0.3333, 0.6667, 0.6649], [0.6667, 0.3333, 0.3351], [0.3333, 0.6667, 0.1582], [0.6667, 0.3333, 0.8418], [0.0000, 0.0000, 0.5000], [0.0000, 0.5000, 0.0000], [0.1731, 0.3463, 0.3229], [0.1731, 0.8269, 0.3229], [0.3463, 0.1731, 0.6771], [0.5000, 0.0000, 0.0000], [0.5000, 0.5000, 0.0000], [0.6537, 0.8269, 0.3229], [0.8269, 0.1731, 0.6771], [0.8269, 0.6537, 0.6771]], "raw_formation_energy_ev_per_atom": -2.80}

---

[9]
{"formula": "TbScPt", "functional": "PBE-GGA", "state": "optimized geometry", "lattice_angstrom": [[4.5101, 0.0000, 0.0000], [-2.2550, 3.9058, 0.0000], [0.0000, 0.0000, 4.0152]], "species": ["Tb", "Sc", "Pt"], "fractional_positions": [[0.0000, 0.0000, 0.0000], [0.6667, 0.3333, 0.4872], [0.3333, 0.6667, 0.6286]], "relative_energy_ev_per_atom": 0.254, "e_form_ev_per_atom": -0.71}

---

[10]
{"formula": "CeNdY3Ho", "functional": "PBE-GGA", "state": "optimized geometry", "lattice_angstrom": [[2.9385, -5.6829, 0.0000], [2.9385, 5.6829, 0.0000], [0.0000, 0.0000, 11.7622]], "species": ["Ce", "Ce", "Nd", "Nd", "Y", "Y", "Y", "Y", "Y", "Y", "Ho", "Ho"], "fractional_positions": [[0.0016, 0.9984, 0.7500], [0.9984, 0.0016, 0.2500], [0.5000, 0.5000, 0.0000], [0.5000, 0.5000, 0.5000], [0.1701, 0.8299, 0.0022], [0.1701, 0.8299, 0.4978], [0.3272, 0.6728, 0.7500], [0.6728, 0.3272, 0.2500], [0.8299, 0.1701, 0.5022], [0.8299, 0.1701, 0.9978], [0.3296, 0.6704, 0.2500], [0.6704, 0.3296, 0.7500]], "e_form_ev_per_atom": 0.15}

---

[11]
{"formula": "RbZrMoI2", "functional": "PBE-GGA", "state": "optimized geometry", "lattice_angstrom": [[6.4808, 0.0000, 0.0000], [0.0000, 6.4808, 0.0000], [0.0000, 0.0000, 6.0449]], "species": ["Rb", "Zr", "Mo", "I", "I"], "fractional_positions": [[0.0000, 0.0000, 0.0000], [0.0000, 0.0000, 0.5000], [0.5000, 0.5000, 0.5000], [0.0000, 0.5000, 0.0000], [0.5000, 0.0000, 0.0000]], "raw_formation_energy_ev_per_atom": 1.74}

---

[12]
{"formula": "TbPm6Dy2Ho3", "functional": "PBE-GGA", "state": "optimized geometry", "lattice_angstrom": [[3.1180, -5.3997, 0.0000], [3.1180, 5.3997, 0.0000], [-2.0717, 0.0000, 11.6470]], "species": ["Tb", "Pm", "Pm", "Pm", "Pm", "Pm", "Pm", "Dy", "Dy", "Ho", "Ho", "Ho"], "fractional_positions": [[0.0000, 0.0000, 0.0000], [0.0839, 0.4174, 0.2506], [0.2495, 0.2495, 0.7492], [0.4174, 0.0839, 0.2506], [0.5826, 0.9161, 0.7494], [0.7505, 0.7505, 0.2508], [0.9161, 0.5826, 0.7494], [0.3334, 0.6666, 0.0000], [0.6666, 0.3334, 0.0000], [0.1667, 0.8333, 0.5000], [0.5000, 0.5000, 0.5000], [0.8333, 0.1667, 0.5000]], "e_form_ev_per_atom": 0.01}

---

[13]
{"formula": "Y2ReAs", "functional": "PBE-GGA", "state": "optimized geometry", "lattice_angstrom": [[0.0000, 3.4234, 3.4234], [3.4234, 0.0000, 3.4234], [3.4234, 3.4234, 0.0000]], "species": ["Y", "Y", "Re", "As"], "fractional_positions": [[0.0000, 0.0000, 0.0000], [0.2500, 0.2500, 0.2500], [0.7500, 0.7500, 0.7500], [0.5000, 0.5000, 0.5000]], "e_form_ev_per_atom": 0.10}

---

[14]
{"formula": "Ca4BeRh", "functional": "PBE-GGA", "state": "optimized geometry", "lattice_angstrom": [[0.0000, 4.3124, 4.3124], [4.3124, 0.0000, 4.3124], [4.3124, 4.3124, 0.0000]], "species": ["Ca", "Ca", "Ca", "Ca", "Be", "Rh"], "fractional_positions": [[0.1243, 0.1243, 0.1243], [0.1243, 0.1243, 0.6272], [0.1243, 0.6272, 0.1243], [0.6272, 0.1243, 0.1243], [0.5000, 0.5000, 0.5000], [0.7500, 0.7500, 0.7500]], "e_form_ev_per_atom": 0.90}

---

[15]
{"formula": "Cs2NaRh3F12", "functional": "PBE-GGA", "state": "optimized geometry", "lattice_angstrom": [[3.7423, 2.1606, 6.4335], [-3.7423, 2.1606, 6.4335], [0.0000, -4.3213, 6.4335]], "species": ["Cs", "Cs", "Na", "Rh", "Rh", "Rh", "F", "F", "F", "F", "F", "F", "F", "F", "F", "F", "F", "F"], "fractional_positions": [[0.1289, 0.1289, 0.1289], [0.8711, 0.8711, 0.8711], [0.5000, 0.5000, 0.5000], [0.0000, 0.5000, 0.5000], [0.5000, 0.0000, 0.5000], [0.5000, 0.5000, 0.0000], [0.1364, 0.5860, 0.5860], [0.1811, 0.1811, 0.5924], [0.1811, 0.5924, 0.1811], [0.4076, 0.8189, 0.8189], [0.4140, 0.4140, 0.8636], [0.4140, 0.8636, 0.4140], [0.5860, 0.1364, 0.5860], [0.5860, 0.5860, 0.1364], [0.5924, 0.1811, 0.1811], [0.8189, 0.4076, 0.8189], [0.8189, 0.8189, 0.4076], [0.8636, 0.4140, 0.4140]], "raw_formation_energy_ev_per_atom": -2.02}

---

[16]
{"formula": "AlHgB3", "functional": "PBE-GGA", "state": "optimized geometry", "lattice_angstrom": [[4.3899, 0.0000, 0.0000], [0.0000, 4.3899, 0.0000], [0.0000, 0.0000, 4.3899]], "species": ["Al", "Hg", "B", "B", "B"], "fractional_positions": [[0.0000, 0.0000, 0.0000], [0.5000, 0.5000, 0.5000], [0.0000, 0.5000, 0.5000], [0.5000, 0.0000, 0.5000], [0.5000, 0.5000, 0.0000]], "relative_energy_ev_per_atom": 0.523, "e_form_ev_per_atom": 2.28}

---

[17]
{"formula": "MgNbZn2Re", "functional": "PBE-GGA", "state": "optimized geometry", "lattice_angstrom": [[4.7091, 0.0000, 0.0000], [0.0000, 4.7091, 0.0000], [0.0000, 0.0000, 4.7912]], "species": ["Mg", "Nb", "Zn", "Zn", "Re"], "fractional_positions": [[0.0000, 0.0000, 0.0000], [0.5000, 0.5000, 0.0000], [0.0000, 0.5000, 0.5000], [0.5000, 0.0000, 0.5000], [0.0000, 0.0000, 0.5000]], "e_form_ev_per_atom": 1.37}

---

[18]
{"formula": "Pr3DyRu8", "functional": "PBE-GGA", "state": "optimized geometry", "lattice_angstrom": [[2.7065, 1.5626, 8.8964], [-2.7065, 1.5626, 8.8964], [0.0000, -3.1252, 8.8964]], "species": ["Pr", "Pr", "Pr", "Dy", "Ru", "Ru", "Ru", "Ru", "Ru", "Ru", "Ru", "Ru"], "fractional_positions": [[0.0000, 0.0000, 0.0000], [0.1250, 0.1250, 0.1250], [0.4998, 0.4998, 0.4998], [0.6243, 0.6243, 0.6243], [0.0574, 0.0574, 0.5738], [0.0574, 0.5738, 0.0574], [0.0653, 0.5574, 0.5574], [0.3069, 0.3069, 0.3069], [0.5574, 0.0653, 0.5574], [0.5574, 0.5574, 0.0653], [0.5738, 0.0574, 0.0574], [0.8073, 0.8073, 0.8073]], "e_form_ev_per_atom": -0.14}

---

[19]
{"formula": "Mn2FeSb", "functional": "PBE-GGA", "state": "optimized geometry", "lattice_angstrom": [[1.5190, 0.8770, 7.9741], [-1.5190, 0.8770, 7.9741], [0.0000, -1.7540, 7.9741]], "species": ["Mn", "Mn", "Fe", "Sb"], "fractional_positions": [[0.2423, 0.2423, 0.2423], [0.7577, 0.7577, 0.7577], [0.5000, 0.5000, 0.5000], [0.0000, 0.0000, 0.0000]], "raw_formation_energy_ev_per_atom": 0.49}

---

[20]
{"formula": "BaAu2C", "functional": "PBE-GGA", "state": "optimized geometry", "lattice_angstrom": [[-2.9413, 2.9413, 5.8584], [2.9413, -2.9413, 5.8584], [2.9413, 2.9413, -5.8584]], "species": ["Ba", "Ba", "Au", "Au", "Au", "Au", "C", "C"], "fractional_positions": [[0.0000, 0.0000, 0.0000], [0.7500, 0.2500, 0.5000], [0.3131, 0.6250, 0.1881], [0.3750, 0.5631, 0.6881], [0.4369, 0.1250, 0.8119], [0.8750, 0.6869, 0.3119], [0.2500, 0.7500, 0.5000], [0.5000, 0.5000, 0.0000]], "e_form_ev_per_atom": 0.22}

---

[21]
{"formula": "LaPIr2", "functional": "PBE-GGA", "state": "optimized geometry", "lattice_angstrom": [[3.1896, 0.0000, 0.0000], [0.0000, 3.1896, 0.0000], [0.0000, 0.0000, 7.1006]], "species": ["La", "P", "Ir", "Ir"], "fractional_positions": [[0.0000, 0.0000, 0.0000], [0.5000, 0.5000, 0.3287], [0.0000, 0.0000, 0.4631], [0.5000, 0.5000, 0.7202]], "e_form_ev_per_atom": -0.27}

---

[22]
{"formula": "Sc2Cd2Ge", "functional": "PBE-GGA", "state": "optimized geometry", "lattice_angstrom": [[7.0396, 0.0000, 0.0000], [0.0000, 7.0396, 0.0000], [0.0000, 0.0000, 4.4276]], "species": ["Sc", "Sc", "Sc", "Sc", "Cd", "Cd", "Cd", "Cd", "Ge", "Ge"], "fractional_positions": [[0.1661, 0.3339, 0.0000], [0.3339, 0.8339, 0.0000], [0.6661, 0.1661, 0.0000], [0.8339, 0.6661, 0.0000], [0.1368, 0.6368, 0.5000], [0.3632, 0.1368, 0.5000], [0.6368, 0.8632, 0.5000], [0.8632, 0.3632, 0.5000], [0.0000, 0.0000, 0.5000], [0.5000, 0.5000, 0.5000]], "relative_energy_ev_per_atom": 0.000, "e_form_ev_per_atom": -0.18}

---

[23]
{"formula": "Ca2CdPd3Au12", "functional": "PBE-GGA", "state": "optimized geometry", "lattice_angstrom": [[4.7124, 2.7207, 4.6297], [-4.7124, 2.7207, 4.6297], [0.0000, -5.4414, 4.6297]], "species": ["Ca", "Ca", "Cd", "Pd", "Pd", "Pd", "Au", "Au", "Au", "Au", "Au", "Au", "Au", "Au", "Au", "Au", "Au", "Au"], "fractional_positions": [[0.2323, 0.2323, 0.2323], [0.7677, 0.7677, 0.7677], [0.5000, 0.5000, 0.5000], [0.0000, 0.5000, 0.5000], [0.5000, 0.0000, 0.5000], [0.5000, 0.5000, 0.0000], [0.0885, 0.0885, 0.6264], [0.0885, 0.6264, 0.0885], [0.2039, 0.7009, 0.7009], [0.2991, 0.2991, 0.7961], [0.2991, 0.7961, 0.2991], [0.3736, 0.9115, 0.9115], [0.6264, 0.0885, 0.0885], [0.7009, 0.2039, 0.7009], [0.7009, 0.7009, 0.2039], [0.7961, 0.2991, 0.2991], [0.9115, 0.3736, 0.9115], [0.9115, 0.9115, 0.3736]], "e_form_ev_per_atom": -0.24}

---

[24]
{"formula": "Sr2TlPb2", "functional": "PBE-GGA", "state": "optimized geometry", "lattice_angstrom": [[8.3492, 0.0000, 0.0000], [0.0000, 8.3492, 0.0000], [0.0000, 0.0000, 5.0755]], "species": ["Sr", "Sr", "Sr", "Sr", "Tl", "Tl", "Pb", "Pb", "Pb", "Pb"], "fractional_positions": [[0.1685, 0.3315, 0.0000], [0.3315, 0.8315, 0.0000], [0.6685, 0.1685, 0.0000], [0.8315, 0.6685, 0.0000], [0.0000, 0.0000, 0.5000], [0.5000, 0.5000, 0.5000], [0.1344, 0.6344, 0.5000], [0.3656, 0.1344, 0.5000], [0.6344, 0.8656, 0.5000], [0.8656, 0.3656, 0.5000]], "relative_energy_ev_per_atom": 0.016, "e_form_ev_per_atom": -0.41}